Density functional theory data (PBE) for Ba2AlTc after structural relaxation.

Properties
E (eV per atom): -3.755

Cell: 7.966 8.005 4.043 Å, 90.00 90.00 90.00°
Sites, in units of the cell vectors:
Ba 0.250 0.250 0.000
Ba 0.250 0.750 0.000
Ba 0.750 0.250 0.000
Ba 0.750 0.750 0.000
Al 0.000 0.000 0.500
Al 0.500 0.500 0.500
Tc 0.000 0.500 0.500
Tc 0.500 0.000 0.500

=====

Density functional theory data (PBE) for Li2PRu after structural relaxation.

Properties
E (eV per atom): -4.820

Cell: 4.583 8.384 2.804 Å, 90.00 90.00 90.00°
Sites, in units of the cell vectors:
Li 0.250 0.250 0.000
Li 0.250 0.750 0.000
Li 0.750 0.250 0.000
Li 0.750 0.750 0.000
P 0.000 0.000 0.500
P 0.500 0.500 0.500
Ru 0.000 0.500 0.500
Ru 0.500 0.000 0.500

=====

Density functional theory data (PBE) for K2Tl4In3 after structural relaxation.

Properties
Energy above the most stable polymorph in this dataset (eV/atom): 0.012

Cell: 9.794 9.794 9.562 Å, 90.00 90.00 139.61°
Sites, in units of the cell vectors:
K 0.109 0.891 0.905
K 0.391 0.609 0.405
K 0.609 0.391 0.595
K 0.891 0.109 0.095
Tl 0.180 0.820 0.520
Tl 0.192 0.308 0.750
Tl 0.308 0.192 0.250
Tl 0.320 0.680 0.020
Tl 0.680 0.320 0.980
Tl 0.692 0.808 0.750
Tl 0.808 0.692 0.250
Tl 0.820 0.180 0.480
In 0.000 0.000 0.500
In 0.025 0.475 0.750
In 0.475 0.025 0.250
In 0.500 0.500 0.000
In 0.525 0.975 0.750
In 0.975 0.525 0.250

=====

Calculated magnetization in order - 0.651 0.000 0.000 μB/atom